# 1
KSi2PdO6: optimized geometry, PBE.

Cell and atoms, written as POSCAR:
```
KSi2PdO6
1.0
5.256 -5.074 0.000
5.256 5.074 0.000
-1.485 0.000 5.234
K Si Pd O
2 4 2 12
Cartesian
4.142 4.101 3.926
4.885 -4.101 1.309
1.728 0.892 4.457
2.471 -0.892 1.840
6.556 0.892 3.394
7.299 -0.892 0.777
4.885 2.175 1.309
4.142 -2.175 3.926
0.321 1.307 3.763
2.815 2.080 4.629
1.064 -1.307 1.145
3.089 0.292 0.800
2.347 -0.292 3.417
5.470 2.080 3.222
3.557 -2.080 2.012
6.680 0.292 1.817
5.938 -0.292 4.434
7.963 1.307 4.089
6.212 -2.080 0.605
8.706 -1.307 1.472
```

Calculated values
formation energy (no corrections): -1.856 eV/atom
volume: 14.0 Å³/atom
SG: C2/c
D(E_F): 2.08 states/eV per cell

# 2
K3Sm2PdO6: optimized geometry, PBE.

Cell and atoms, written as POSCAR:
```
K3Sm2PdO6
1.0
2.993 -5.244 0.000
2.993 5.244 0.000
-1.923 0.000 6.255
K Sm Pd O
3 2 1 6
Cartesian
0.000 0.000 0.000
2.993 1.668 0.000
2.993 -1.668 0.000
2.032 3.465 3.128
2.032 -3.465 3.128
2.032 0.000 3.128
1.024 1.748 1.876
0.219 0.000 4.227
1.024 -1.748 1.876
3.040 1.748 4.379
3.844 0.000 2.028
3.040 -1.748 4.379
```

Calculated values
formation energy (no corrections): -1.973 eV/atom
volume: 16.4 Å³/atom
SG: C2/m

# 3
KSmPdO3: optimized geometry, PBE.

Cell and atoms, written as POSCAR:
```
KSmPdO3
1.0
6.621 -1.978 0.000
6.621 1.978 0.000
-1.903 0.000 7.292
K Sm Pd O
2 2 2 6
Cartesian
1.784 0.000 0.472
9.555 0.000 6.820
0.883 0.000 4.207
10.456 0.000 3.085
5.147 0.000 5.285
6.192 0.000 2.007
-0.509 0.000 2.295
3.163 0.000 4.600
4.164 0.000 1.653
7.175 0.000 5.640
8.176 0.000 2.692
11.848 0.000 4.997
```

Calculated values
formation energy (no corrections): -1.949 eV/atom
volume: 15.9 Å³/atom
SG: C2/m

# 4
KSm2PdO4: optimized geometry, PBE.

Cell and atoms, written as POSCAR:
```
KSm2PdO4
1.0
1.748 -6.027 0.000
1.748 6.027 0.000
0.000 0.000 12.634
K Sm Pd O
2 4 2 8
Cartesian
1.748 4.702 9.475
1.748 -4.702 3.158
1.748 1.598 7.040
1.748 1.598 11.910
1.748 -1.598 0.723
1.748 -1.598 5.594
1.748 4.137 3.158
1.748 -4.137 9.475
0.000 0.000 0.000
0.000 0.000 6.317
1.748 2.913 1.166
1.748 2.913 5.150
1.748 0.702 9.475
1.748 -0.702 3.158
1.748 -2.913 7.483
1.748 -2.913 11.467
```

Calculated values
formation energy (no corrections): -2.217 eV/atom
volume: 16.6 Å³/atom
SG: Cmcm
D(E_F): 7.99 states/eV per cell